# 1
Here is a geometry-optimized Cs2CrI6N structure from Alexandria via LeMat-Bulk. Energies are from PBE-GGA.

Computed properties:
SG: No. 139
crystal system: tetragonal
D(E_F): 0.187 states/eV/atom
formation energy from raw total energies: -0.268 eV/atom

Unit cell a=7.724 b=7.724 c=8.456 alpha=62.82 beta=62.82 gamma=90.00
Fractional positions:
Cs  0.750  0.250  0.500
Cs  0.250  0.750  0.500
I  0.733  0.733  0.000
N  0.500  0.500  0.000
Cr  0.000  0.000  0.000
I  0.790  0.790  0.420
I  0.733  0.267  0.000
I  0.210  0.210  0.580
I  0.267  0.733  0.000
I  0.267  0.267  0.000


# 2
Here is a geometry-optimized TaCd2Ru structure from Alexandria via LeMat-Bulk. Energies are from PBE-GGA.

Computed properties:
SG: No. 99
ΔE to the lowest computed polymorph: 0.0 kJ/mol of atoms
crystal system: tetragonal
ΔE_f: 0.01 eV per atom
D(E_F): 0.963 states/eV/atom

Unit cell a=3.164 b=3.164 c=7.504 alpha=90.00 beta=90.00 gamma=90.00
Fractional positions:
Ta  0.500  0.500  0.710
Cd  0.500  0.500  0.272
Ru  0.000  0.000  0.528
Cd  0.000  0.000  0.989


# 3
Here is a geometry-optimized Ba2SrCr structure from Alexandria via LeMat-Bulk. Energies are from PBE-GGA.

Computed properties:
SG: No. 71
ΔE to the lowest computed polymorph: 4.4 kJ/mol of atoms
crystal system: orthorhombic
ΔE_f: 0.46 eV per atom
D(E_F): 1.396 states/eV/atom

Unit cell a=7.589 b=7.589 c=6.409 alpha=64.98 beta=64.98 gamma=33.67
Fractional positions:
Ba  0.453  0.453  0.547
Ba  0.047  0.047  0.953
Sr  0.250  0.250  0.250
Cr  0.750  0.750  0.750


# 4
Here is a geometry-optimized Y6AlCd structure from Alexandria via LeMat-Bulk. Energies are from PBE-GGA.

Computed properties:
SG: No. 139
crystal system: tetragonal
ΔE_f: -0.17 eV per atom
D(E_F): 1.304 states/eV/atom

Unit cell a=9.685 b=9.685 c=9.685 alpha=149.53 beta=149.53 gamma=43.63
Fractional positions:
Al  0.500  0.500  0.000
Y  0.892  0.392  0.500
Y  0.392  0.892  0.500
Y  0.108  0.608  0.500
Y  0.608  0.108  0.500
Cd  0.000  0.000  0.000
Y  0.250  0.250  0.000
Y  0.750  0.750  0.000